Crystalline MgGe2Rh2 at its relaxed geometry, computed with PBE.

Geometry as CIF:
```
data_MgGe2Rh2
_chemical_formula_sum 'Mg2 Ge4 Rh4'
_space_group_name_H-M_alt 'P 1'
_space_group_IT_number 1
_cell_length_a 4.7325
_cell_length_b 4.3698
_cell_length_c 8.2051
_cell_angle_alpha 90.00
_cell_angle_beta 103.06
_cell_angle_gamma 90.00
loop_
_space_group_symop_operation_xyz
'x,y,z'
loop_
_atom_site_label
_atom_site_type_symbol
_atom_site_fract_x
_atom_site_fract_y
_atom_site_fract_z
_atom_site_occupancy
Mg1 Mg 0.1765 0.2500 0.2671 1
Mg2 Mg 0.8235 0.7500 0.7329 1
Ge1 Ge 0.2837 0.2500 0.6364 1
Ge2 Ge 0.3461 0.7500 0.0291 1
Ge3 Ge 0.6539 0.2500 0.9709 1
Ge4 Ge 0.7163 0.7500 0.3636 1
Rh1 Rh 0.1207 0.2500 0.9020 1
Rh2 Rh 0.2629 0.7500 0.4738 1
Rh3 Rh 0.7371 0.2500 0.5262 1
Rh4 Rh 0.8793 0.7500 0.0980 1
```

Properties
* ΔE_f: -0.5156 eV/atom
* space-group type: P2_1/m
* magnetic moment: 0.00 μB/atom